No. 1
A plane-wave DFT calculation with GGA-PBE was carried out for Pm2HfGe after structural relaxation.

total DFT energy (no corrections) = -24.8 eV per cell
ρ = 9.096 g/cm³

Lattice parameters (Å, degrees): 4.5723 4.6482 4.6482 90.00 90.00 90.00
Last column: nearest neighbours and their distance in Å.
Fractional positions:
1 Hf 0.5000 0.0000 0.0000  8 Pm 3.26, 4 Ge 3.29
2 Pm 0.0000 0.0000 0.5000  4 Ge 3.26, 4 Hf 3.26, 4 Pm 3.29
3 Pm 0.0000 0.5000 0.0000  4 Ge 3.26, 4 Hf 3.26, 4 Pm 3.29
4 Ge 0.5000 0.5000 0.5000  8 Pm 3.26, 4 Hf 3.29

No. 2
A plane-wave DFT calculation with GGA-PBE was carried out for Dy2Ga5Fe after structural relaxation.

total DFT energy (no corrections) = -35.8 eV per cell
ρ = 7.704 g/cm³

Lattice parameters (Å, degrees): 6.0417 6.0417 6.0417 90.97 119.44 119.44
Last column: nearest neighbours and their distance in Å.
Fractional positions:
1 Ga 0.4346 0.7169 0.7169  1 Fe 2.45, 2 Ga 2.65
2 Dy 0.5000 0.7516 0.2516  10 Ga 3.02-3.05
3 Fe 0.0000 0.9659 0.9659  5 Ga 2.45
4 Ga 0.5654 0.2823 0.2823  1 Fe 2.45, 2 Ga 2.65
5 Ga 0.0000 0.2823 0.7169  1 Fe 2.45, 2 Ga 2.65
6 Ga 0.0000 0.7169 0.2823  1 Fe 2.45, 2 Ga 2.65
7 Dy 0.5000 0.2516 0.7516  10 Ga 3.02-3.05
8 Ga 0.0000 0.2546 0.2546  1 Fe 2.45

No. 3
A plane-wave DFT calculation with GGA-PBE was carried out for BaMnNbP2 after structural relaxation.

total DFT energy (no corrections) = -27.8 eV per cell
ρ = 5.206 g/cm³

Lattice parameters (Å, degrees): 4.6182 5.1909 4.6182 90.00 90.00 90.00
Last column: nearest neighbours and their distance in Å.
Fractional positions:
1 P 0.5000 0.0000 0.0000  2 Mn 2.31
2 Nb 0.5000 0.5000 0.5000  4 Ba 3.27, 8 P 3.47
3 Ba 0.0000 0.5000 0.0000  2 Mn 2.60
4 Mn 0.0000 0.0000 0.0000  4 P 2.31
5 P 0.0000 0.0000 0.5000  2 Mn 2.31

No. 4
A plane-wave DFT calculation with GGA-PBE was carried out for Ca2Ni2Pt after structural relaxation.

total DFT energy (no corrections) = -22.9 eV per cell
ρ = 6.669 g/cm³
polymorph energy (0 for the lowest one) = 109 meV/atom

Lattice parameters (Å, degrees): 3.4110 3.4110 8.7419 78.75 78.75 90.00
Last column: nearest neighbours and their distance in Å.
Fractional positions:
1 Ni 0.7500 0.2500 0.5000  4 Ni 2.41
2 Pt 0.0000 0.0000 0.0000  8 Ca 2.99
3 Ca 0.6051 0.6051 0.7898  4 Ni 2.97, 4 Pt 2.99
4 Ni 0.2500 0.7500 0.5000  4 Ni 2.41
5 Ca 0.3949 0.3949 0.2102  4 Ni 2.97, 4 Pt 2.99

No. 5
A plane-wave DFT calculation with GGA-PBE was carried out for Ca2SnS4 after structural relaxation.

total DFT energy (no corrections) = -32.9 eV per cell
ρ = 2.438 g/cm³
formation energy without anion corrections = -1.203 eV/atom
polymorph energy (0 for the lowest one) = 195 meV/atom

Lattice parameters (Å, degrees): 7.6047 7.6047 7.6047 134.14 134.14 66.87
Last column: nearest neighbours and their distance in Å.
Fractional positions:
1 S 0.0877 0.6031 0.9541  1 Sn 2.43
2 Ca 0.2500 0.7500 0.5000  4 S 2.74
3 S 0.3969 0.3509 0.4845  1 Sn 2.43
4 Sn 0.7500 0.2500 0.5000  4 S 2.43
5 S 0.8664 0.9123 0.5155  1 Sn 2.43
6 Ca 0.5000 0.5000 0.0000  4 S 2.74
7 S 0.6491 0.1336 0.0459  1 Sn 2.43

No. 6
A plane-wave DFT calculation with GGA-PBE was carried out for BeHg2Mo after structural relaxation.

total DFT energy (no corrections) = -13.4 eV per cell
ρ = 11.919 g/cm³

Lattice parameters (Å, degrees): 2.8355 2.8355 8.7706 90.00 90.00 90.00
Last column: nearest neighbours and their distance in Å.
Fractional positions:
1 Hg 0.0000 0.0000 0.9518  4 Be 2.82, 4 Hg 2.84
2 Mo 0.0000 0.0000 0.5436  4 Be 2.56, 4 Mo 2.84
3 Be 0.5000 0.5000 0.7254  4 Mo 2.56, 4 Hg 2.82, 4 Be 2.84
4 Hg 0.5000 0.5000 0.2792  4 Hg 2.84, 4 Mo 3.07

No. 7
A plane-wave DFT calculation with GGA-PBE was carried out for La3Dy3Si4 after structural relaxation.

total DFT energy (no corrections) = -57.1 eV per cell
ρ = 6.517 g/cm³
formation energy without anion corrections = -0.684 eV/atom

Lattice parameters (Å, degrees): 4.4347 7.6431 7.6431 89.01 90.00 90.00
Last column: nearest neighbours and their distance in Å.
Fractional positions:
1 Dy 0.5000 0.1768 0.8232  6 Si 3.10-3.12
2 La 0.5000 0.3198 0.3231  6 Si 3.18-3.22, 2 Dy 3.55
3 Si 0.0000 0.6100 0.3900  1 Si 2.48
4 Dy 0.0000 0.0006 0.5006  4 Si 3.01-3.14
5 Dy 0.0000 0.4994 0.9994  4 Si 3.01-3.14
6 La 0.5000 0.8244 0.1756  6 Si 3.19-3.20
7 Si 0.0000 0.3788 0.6212  1 Si 2.48
8 La 0.5000 0.6769 0.6802  6 Si 3.18-3.22, 2 Dy 3.55
9 Si 0.0000 0.1188 0.1055  1 Si 2.45
10 Si 0.0000 0.8945 0.8812  1 Si 2.45

No. 8
A plane-wave DFT calculation with GGA-PBE was carried out for HCl after structural relaxation.

total DFT energy (no corrections) = -10.5 eV per cell
ρ = 1.853 g/cm³

Lattice parameters (Å, degrees): 3.1157 3.1157 7.7741 90.00 90.00 120.00
Last column: nearest neighbours and their distance in Å.
Fractional positions:
1 H 0.6667 0.3333 0.7500  3 Cl 1.80
2 Cl 0.6667 0.3333 0.2500  3 H 1.80
3 Cl 0.3333 0.6667 0.7500  3 H 1.80
4 H 0.3333 0.6667 0.2500  3 Cl 1.80

- Which of these has the lowest ρ?
  HCl

- Number 2 is which compound?
  Dy2Ga5Fe